Tl12Te3P5: optimized geometry, GGA-PBE.

a = 17.613 Å, b = 17.613 Å, c = 17.613 Å
α = 90.00°, β = 90.00°, γ = 90.00°
Space group Ia-3d (No. 230)
Inequivalent atoms, fractional coordinates:
Tl (0.024, 0.060, 0.650) x96
Te (0.000, 0.250, 0.125) x24
P (0.000, 0.000, 0.000) x16
P (0.000, 0.250, 0.375) x24

The value obtained for the spin magnetization is 0.000 μB/atom. The value obtained for the uncorrected formation energy is 0.14 eV per atom.